Entry 1:
A relaxed structure of CoIrSCl2, computed with PBE. Values from VASP.

Cell and atoms, written as Quantum ESPRESSO input:
```
&SYSTEM
  ibrav = 0, nat = 5, ntyp = 4
/
ATOMIC_SPECIES
S 32.06 S.upf
Ir 192.22 Ir.upf
Co 58.93 Co.upf
Cl 35.45 Cl.upf
CELL_PARAMETERS angstrom
4.394 0.000 0.000
0.000 4.647 0.000
0.000 0.000 4.394
ATOMIC_POSITIONS crystal
S 0.000 0.500 0.000
Ir 0.500 0.500 0.500
Co 0.000 0.000 0.000
Cl 0.000 0.000 0.500
Cl 0.500 0.000 0.000
```

Formation energy without anion corrections = 436.0 kJ/mol of formula units



Entry 2:
A relaxed structure of ScUAlTc, computed with PBE. Values from VASP.

Cell and atoms, written as Quantum ESPRESSO input:
```
&SYSTEM
  ibrav = 0, nat = 4, ntyp = 4
/
ATOMIC_SPECIES
Sc 44.96 Sc.upf
U 238.03 U.upf
Tc 98.00 Tc.upf
Al 26.98 Al.upf
CELL_PARAMETERS angstrom
-0.715 4.578 0.672
-3.057 2.312 -2.690
-4.050 1.495 1.812
ATOMIC_POSITIONS crystal
Sc 0.000 0.000 0.000
U 0.750 0.750 0.750
Tc 0.500 0.500 0.500
Al 0.250 0.250 0.250
```

DFT formation energy = -0.093 eV/atom



Entry 3:
A relaxed structure of Dy7Tm12Hf, computed with PBE. Values from VASP.

Cell and atoms, written as Quantum ESPRESSO input:
```
&SYSTEM
  ibrav = 0, nat = 20, ntyp = 3
/
ATOMIC_SPECIES
Dy 162.50 Dy.upf
Tm 168.93 Tm.upf
Hf 178.49 Hf.upf
CELL_PARAMETERS angstrom
8.426 0.757 1.137
-1.615 8.304 1.137
-1.615 -2.149 8.101
ATOMIC_POSITIONS crystal
Dy 0.918 0.653 0.981
Dy 0.347 0.019 0.082
Dy 0.019 0.082 0.347
Dy 0.500 0.500 0.500
Dy 0.981 0.918 0.653
Dy 0.653 0.981 0.918
Dy 0.082 0.347 0.019
Tm 0.814 0.250 0.686
Tm 0.750 0.314 0.186
Tm 0.483 0.148 0.416
Tm 0.852 0.584 0.517
Tm 0.314 0.186 0.750
Tm 0.584 0.517 0.852
Tm 0.416 0.483 0.148
Tm 0.686 0.814 0.250
Tm 0.148 0.416 0.483
Tm 0.517 0.852 0.584
Tm 0.250 0.686 0.814
Tm 0.186 0.750 0.314
Hf 0.000 0.000 0.000
```

DFT formation energy = 0.313 eV/atom



Entry 4:
A relaxed structure of Nd2Sm6Ga, computed with PBE. Values from VASP.

Cell and atoms, written as Quantum ESPRESSO input:
```
&SYSTEM
  ibrav = 0, nat = 18, ntyp = 3
/
ATOMIC_SPECIES
Nd 144.24 Nd.upf
Sm 150.36 Sm.upf
Ga 69.72 Ga.upf
CELL_PARAMETERS angstrom
5.529 0.000 0.269
0.000 9.978 0.000
-0.503 0.000 10.459
ATOMIC_POSITIONS crystal
Nd 0.000 0.309 0.750
Nd 0.500 0.809 0.750
Nd 0.500 0.191 0.250
Nd 0.000 0.691 0.250
Sm 0.000 0.016 0.194
Sm 0.000 0.693 0.574
Sm 0.000 0.634 0.898
Sm 0.500 0.134 0.602
Sm 0.500 0.193 0.926
Sm 0.500 0.516 0.306
Sm 0.000 0.984 0.806
Sm 0.000 0.307 0.426
Sm 0.000 0.366 0.102
Sm 0.500 0.866 0.398
Sm 0.500 0.807 0.074
Sm 0.500 0.484 0.694
Ga 0.500 0.500 0.000
Ga 0.000 0.000 0.500
```

DFT formation energy = -0.042 eV/atom



Entry 5:
A relaxed structure of TlSi3, computed with PBE. Values from VASP.

Cell and atoms, written as Quantum ESPRESSO input:
```
&SYSTEM
  ibrav = 0, nat = 4, ntyp = 2
/
ATOMIC_SPECIES
Si 28.09 Si.upf
Tl 204.38 Tl.upf
CELL_PARAMETERS angstrom
-1.832 1.492 2.697
-1.743 -1.748 -2.600
0.582 -6.604 4.050
ATOMIC_POSITIONS crystal
Si 0.000 0.000 0.077
Si 0.000 0.000 0.423
Si 0.667 0.333 0.250
Tl 0.667 0.333 0.750
```

Formation energy without anion corrections = 141.4 kJ/mol of formula units



Entry 6:
A relaxed structure of NbIrPt3, computed with PBE. Values from VASP.

Cell and atoms, written as Quantum ESPRESSO input:
```
&SYSTEM
  ibrav = 0, nat = 10, ntyp = 3
/
ATOMIC_SPECIES
Nb 92.91 Nb.upf
Ir 192.22 Ir.upf
Pt 195.08 Pt.upf
CELL_PARAMETERS angstrom
-3.475 -1.795 0.641
1.334 -3.942 -3.806
3.020 1.946 9.563
ATOMIC_POSITIONS crystal
Nb 0.609 0.769 0.218
Nb 0.391 0.231 0.782
Ir 0.801 0.247 0.601
Ir 0.199 0.753 0.399
Pt 0.000 0.253 0.999
Pt 0.000 0.747 0.001
Pt 0.396 0.734 0.793
Pt 0.604 0.266 0.207
Pt 0.195 0.238 0.391
Pt 0.805 0.762 0.609
```

DFT formation energy = -0.463 eV/atom